Here is a relaxed structure of Tb5Er2Tm4 from the Alexandria database. Energies are from PBE.

Computed properties:
For the uncorrected energy, the calculation gives -48.61 eV/cell. As for the symmetry: No. 12. The value obtained for the density of states at the Fermi level is 17.1 states/eV per cell. The value obtained for the spin magnetization is 0.00 μB per atom.

Cell: 6.543 6.543 9.124 Å, 75.68 75.68 67.07°
Element x y z (fractional)
Tm (0.667, 0.667, 0.880)
Tm (0.333, 0.333, 0.120)
Tm (0.688, 0.688, 0.500)
Tm (0.312, 0.312, 0.500)
Tb (0.653, 0.212, 0.774)
Tb (0.347, 0.788, 0.226)
Tb (0.788, 0.347, 0.226)
Tb (0.212, 0.653, 0.774)
Tb (0.000, 0.000, 0.500)
Er (0.146, 0.146, 0.880)
Er (0.854, 0.854, 0.120)

***

Here is a relaxed structure of Tb3Er7Tm from the Alexandria database. Energies are from PBE.

Computed properties:
For the uncorrected energy, the calculation gives -47.15 eV/cell. As for the symmetry: No. 71. The value obtained for the density of states at the Fermi level is 15.4 states/eV per cell. The value obtained for the spin magnetization is 0.04 μB per atom.

Cell: 5.737 8.323 8.323 Å, 83.30 110.16 110.16°
Each line ends with the local moment (μB).
Element x y z (fractional)
Er (0.208, 0.207, 0.207)  0.01
Er (0.298, 0.998, 0.599)  0.01
Er (0.702, 0.401, 0.002)  0.01
Er (0.000, 0.500, 0.500)  0.17
Er (0.298, 0.599, 0.998)  0.01
Er (0.702, 0.002, 0.401)  0.01
Er (0.792, 0.793, 0.793)  0.01
Tb (0.000, 0.209, 0.791)  0.01
Tb (0.500, 0.000, 0.000)  0.00
Tb (0.000, 0.791, 0.209)  0.01
Tm (0.500, 0.500, 0.500)  0.17

***

Here is a relaxed structure of Tb2Er5Tm from the Alexandria database. Energies are from PBE.

Computed properties:
For the uncorrected energy, the calculation gives -70.86 eV/cell. As for the symmetry: No. 63. The value obtained for the density of states at the Fermi level is 26.7 states/eV per cell. The value obtained for the spin magnetization is 0.00 μB per atom.

Cell: 5.559 8.554 11.284 Å, 90.00 90.01 108.96°
Element x y z (fractional)
Er (0.046, 0.091, 0.112)
Er (0.394, 0.788, 0.750)
Er (0.046, 0.091, 0.388)
Er (0.587, 0.174, 0.921)
Er (0.954, 0.909, 0.888)
Er (0.606, 0.212, 0.250)
Er (0.954, 0.909, 0.612)
Er (0.587, 0.174, 0.579)
Er (0.413, 0.826, 0.421)
Er (0.413, 0.826, 0.079)
Tb (0.212, 0.425, 0.919)
Tb (0.788, 0.575, 0.081)
Tb (0.788, 0.575, 0.419)
Tb (0.212, 0.425, 0.581)
Tm (0.228, 0.455, 0.250)
Tm (0.772, 0.545, 0.750)

***

Question: Which formula does entry 1 have?
Answer: Tb5Er2Tm4

***

Question: uncorrected energy of number 2 (Tb3Er7Tm)?
Answer: -47.15 eV/cell